Computed, not measured: a relaxed structure of LiBe2Si at the PBE-GGA level of DFT.

Values from the calculation:
The uncorrected energy comes out at -13.44 eV/cell. The space-group type is R-3m (166). The density of states at the Fermi level is 0.40 states/eV/atom.

Unit cell a=8.4491 b=8.4491 c=8.4491 alpha=16.99 beta=16.99 gamma=16.99
Fractional coordinates of all 4 atoms:
Be  0.4993  0.4993  0.4993
Li  0.2500  0.2500  0.2500
Si  0.7500  0.7500  0.7500
Be  0.0007  0.0007  0.0007


Computed, not measured: a relaxed structure of LiBe2Si at the PBE-GGA level of DFT.

Values from the calculation:
The uncorrected energy comes out at -14.19 eV/cell. The space-group type is Pm (6). The density of states at the Fermi level is 0.24 states/eV/atom.

Unit cell a=3.4431 b=2.4690 c=5.7788 alpha=79.28 beta=90.00 gamma=90.00
Fractional coordinates of all 4 atoms:
Si  0.5000  0.9135  0.7917
Be  0.0000  0.7886  0.0653
Li  0.0000  0.5508  0.4890
Be  0.5000  0.2471  0.1540


Computed, not measured: a relaxed structure of LiBe2Si at the PBE-GGA level of DFT.

Values from the calculation:
The uncorrected energy comes out at -26.48 eV/cell. The space-group type is I4_1/amd (141). The density of states at the Fermi level is 0.36 states/eV/atom.

Unit cell a=4.1434 b=4.1434 c=7.9956 alpha=74.98 beta=74.98 gamma=90.00
Fractional coordinates of all 8 atoms:
Li  0.2500  0.7500  0.5000
Be  0.8739  0.6250  0.2500
Li  0.5000  0.5000  0.0000
Be  0.3750  0.1239  0.7500
Si  0.0000  0.0000  0.0000
Be  0.8750  0.1261  0.7500
Be  0.8761  0.1250  0.2500
Si  0.7500  0.2500  0.5000


Computed, not measured: a relaxed structure of Li4BeSi at the PBE-GGA level of DFT.

Values from the calculation:
The uncorrected energy comes out at -14.97 eV/cell. The space-group type is F-43m (216). The density of states at the Fermi level is 0.31 states/eV/atom.

Unit cell a=4.8575 b=4.8575 c=4.8575 alpha=60.00 beta=60.00 gamma=60.00
Each line ends with the local moment (μB).
Fractional coordinates of all 6 atoms:
Li  0.3754  0.3754  0.3754  0.08
Li  0.8737  0.3754  0.3754  0.08
Li  0.3754  0.3754  0.8737  0.08
Li  0.3754  0.8737  0.3754  0.08
Si  0.7500  0.7500  0.7500  0.01
Be  0.0000  0.0000  0.0000  0.01